Record 1
Computed, not measured: a relaxed structure of HoLuPd at the PBE level of DFT.

The structure belongs to space group F-43m (No. 216); the cell edges are 6.826, 6.826 and 6.826 Å and the angles 90.00°, 90.00° and 90.00°. The inequivalent atoms are Ho at (0.000, 0.000, 0.000), Lu at (0.000, 0.000, 0.500) and Pd at (0.250, 0.250, 0.250).

For the energy of formation, the calculation gives -0.5147 eV/atom. The calculation puts the density of states at the Fermi level at 1.212 states/eV per atom.

Record 2
Computed, not measured: a relaxed structure of Ca5Tl at the PBE level of DFT.

The structure belongs to space group P6/mmm (No. 191); the cell edges are 6.9030, 6.9030 and 6.4047 Å and the angles 90.00°, 90.00° and 120.00°. The inequivalent atoms are Ca at (0.0000, 0.5000, 0.0000), Ca at (0.3333, 0.6667, 0.5000) and Tl at (0.0000, 0.0000, 0.5000).

For the energy of formation, the calculation gives 0.2588 eV/atom. The calculation puts the density of states at the Fermi level at 1.643 states/eV per atom.

Record 3
Computed, not measured: a relaxed structure of LiTa3Re at the PBE level of DFT.

The structure belongs to space group Pm-3m (No. 221); the cell edges are 4.358, 4.358 and 4.358 Å and the angles 90.00°, 90.00° and 90.00°. The inequivalent atoms are Li at (0.000, 0.000, 0.000), Ta at (0.000, 0.000, 0.500) and Re at (0.500, 0.500, 0.500).

For the energy of formation, the calculation gives 1.2227 eV/atom. The calculation puts the density of states at the Fermi level at 1.198 states/eV per atom.

Record 4
Computed, not measured: a relaxed structure of Be2HgPt at the PBE level of DFT.

The structure belongs to space group Cmmm (No. 65); the cell edges are 5.896, 5.975 and 2.988 Å and the angles 90.00°, 90.00° and 90.00°. The inequivalent atoms are Be at (0.250, 0.250, 0.000), Hg at (0.000, 0.000, 0.500) and Pt at (0.000, 0.500, 0.500).

For the energy of formation, the calculation gives -0.0595 eV/atom. The calculation puts the density of states at the Fermi level at 0.299 states/eV per atom.

Record 5
Computed, not measured: a relaxed structure of LiHf2SnTe at the PBE level of DFT.

The structure belongs to space group P4/mmm (No. 123); the cell edges are 4.988, 4.988 and 4.365 Å and the angles 90.00°, 90.00° and 90.00°. The inequivalent atoms are Li at (0.000, 0.000, 0.000), Hf at (0.000, 0.500, 0.000), Sn at (0.500, 0.500, 0.500) and Te at (0.000, 0.000, 0.500).

For the total energy, the calculation gives -0.395 Ry per atom. The calculation puts the density of states at the Fermi level at 0.919 states/eV per atom.

Record 6
Computed, not measured: a relaxed structure of Ti3Ru at the PBE level of DFT.

The structure belongs to space group Immm (No. 71); the cell edges are 3.100, 4.501 and 9.042 Å and the angles 90.00°, 90.00° and 90.00°. The inequivalent atoms are Ti at (0.000, 0.000, 0.000), Ti at (0.000, 0.500, 0.230) and Ru at (0.000, 0.000, 0.500).

For the energy of formation, the calculation gives -0.4027 eV/atom. The calculation puts the density of states at the Fermi level at 1.200 states/eV per atom.

Record 7
Computed, not measured: a relaxed structure of LiHoMg2Au4 at the PBE level of DFT.

The structure belongs to space group R-3m (No. 166, hexagonal axes); the cell edges are 4.6798, 4.6798 and 24.1064 Å and the angles 90.00°, 90.00° and 120.00°. The inequivalent atoms are Li at (0.0000, 0.0000, 0.0000), Ho at (0.0000, 0.0000, 0.5000), Mg at (0.0000, 0.0000, 0.2573), Au at (0.0000, 0.0000, 0.1119) and Au at (0.0000, 0.0000, 0.3741).

For the energy of formation, the calculation gives -0.6647 eV/atom. The calculation puts the density of states at the Fermi level at 0.529 states/eV per atom.

Record 8
Computed, not measured: a relaxed structure of Li2As2IrRh at the PBE level of DFT.

The structure belongs to space group Ibam (No. 72); the cell edges are 5.677, 12.258 and 5.678 Å and the angles 90.00°, 90.00° and 90.00°. The inequivalent atoms are Li at (0.248, 0.160, 0.000), As at (0.248, 0.378, 0.000), Ir at (0.000, 0.500, 0.250) and Rh at (0.000, 0.000, 0.250).

For the energy of formation, the calculation gives -0.5667 eV/atom. The calculation puts the density of states at the Fermi level at 0.530 states/eV per atom.

Record 9
Computed, not measured: a relaxed structure of TiBe3Te at the PBE level of DFT.

The structure belongs to space group Pm-3m (No. 221); the cell edges are 4.547, 4.547 and 4.547 Å and the angles 90.00°, 90.00° and 90.00°. The inequivalent atoms are Ti at (0.000, 0.000, 0.000), Be at (0.000, 0.000, 0.500) and Te at (0.500, 0.500, 0.500).

For the total energy, the calculation gives -0.221 Ry per atom. The calculation puts the density of states at the Fermi level at 0.685 states/eV per atom.

Record 10
Computed, not measured: a relaxed structure of Pm6Dy3Th2 at the PBE level of DFT.

The structure belongs to space group R-3m (No. 166, hexagonal axes); the cell edges are 3.6085, 3.6085 and 97.1763 Å and the angles 90.00°, 90.00° and 120.00°. The inequivalent atoms are Pm at (0.0000, 0.0000, 0.0910), Pm at (0.0000, 0.0000, 0.1831), Pm at (0.0000, 0.0000, 0.3635), Dy at (0.0000, 0.0000, 0.0000), Dy at (0.0000, 0.0000, 0.2733) and Th at (0.0000, 0.0000, 0.4541).

For the energy of formation, the calculation gives 0.0253 eV/atom. The calculation puts the density of states at the Fermi level at 1.473 states/eV per atom.

Record 11
Computed, not measured: a relaxed structure of Pr3Gd at the PBE level of DFT.

The structure belongs to space group Fm-3m (No. 225); the cell edges are 8.279, 8.279 and 8.279 Å and the angles 90.00°, 90.00° and 90.00°. The inequivalent atoms are Pr at (0.000, 0.000, 0.000), Pr at (0.250, 0.250, 0.250) and Gd at (0.000, 0.000, 0.500).

For the energy of formation, the calculation gives 0.1121 eV/atom. The calculation puts the density of states at the Fermi level at 1.957 states/eV per atom.

Record 12
Computed, not measured: a relaxed structure of V2CoNi6 at the PBE level of DFT.

The structure belongs to space group Fmmm (No. 69); the cell edges are 3.562, 10.567 and 10.747 Å and the angles 90.00°, 90.00° and 90.00°. The inequivalent atoms are V at (0.000, 0.000, 0.154), Co at (0.000, 0.000, 0.500), Ni at (0.000, 0.163, 0.331) and Ni at (0.000, 0.169, 0.000).

For the energy of formation, the calculation gives -0.1420 eV/atom. The calculation puts the density of states at the Fermi level at 1.198 states/eV per atom.

Record 13
Computed, not measured: a relaxed structure of PrTmCo at the PBE level of DFT.

The structure belongs to space group I4mm (No. 107); the cell edges are 3.407, 3.407 and 12.830 Å and the angles 90.00°, 90.00° and 90.00°. The inequivalent atoms are Pr at (0.000, 0.000, 0.000), Tm at (0.000, 0.000, 0.257) and Co at (0.000, 0.000, 0.641).

For the energy of formation, the calculation gives -0.0465 eV/atom. The calculation puts the density of states at the Fermi level at 0.878 states/eV per atom.

Record 14
Computed, not measured: a relaxed structure of CsHg3Sb at the PBE level of DFT.

The structure belongs to space group Cmcm (No. 63); the cell edges are 7.812, 11.727 and 7.488 Å and the angles 90.00°, 90.00° and 90.00°. The inequivalent atoms are Cs at (0.000, 0.237, 0.250), Hg at (0.000, 0.111, 0.750), Hg at (0.233, 0.500, 0.000) and Sb at (0.000, 0.364, 0.750).

For the total energy, the calculation gives -0.102 Ry per atom. The calculation puts the density of states at the Fermi level at 0.542 states/eV per atom.

Record 15
Computed, not measured: a relaxed structure of TaMn3Ni at the PBE level of DFT.

The structure belongs to space group Pm-3m (No. 221); the cell edges are 4.616, 4.616 and 4.616 Å and the angles 90.00°, 90.00° and 90.00°. The inequivalent atoms are Ta at (0.000, 0.000, 0.000), Mn at (0.000, 0.000, 0.500) and Ni at (0.500, 0.500, 0.500).

For the energy of formation, the calculation gives 1.5999 eV/atom. The calculation puts the density of states at the Fermi level at 1.501 states/eV per atom.

Record 16
Computed, not measured: a relaxed structure of Nd4Rh at the PBE level of DFT.

The structure belongs to space group I-42d (No. 122); the cell edges are 8.782, 8.782 and 8.485 Å and the angles 90.00°, 90.00° and 90.00°. The inequivalent atoms are Nd at (0.002, 0.199, 0.333) and Rh at (0.000, 0.000, 0.000).

For the energy of formation, the calculation gives -0.2914 eV/atom. The calculation puts the density of states at the Fermi level at 1.141 states/eV per atom.

Record 17
Computed, not measured: a relaxed structure of CeSm3Th2N6 at the PBE level of DFT.

The structure belongs to space group C2/m (No. 12); the cell edges are 6.269, 10.852 and 6.244 Å and the angles 90.00°, 109.53° and 90.00°. The inequivalent atoms are Ce at (0.000, 0.000, 0.000), Sm at (0.000, 0.165, 0.500), Sm at (0.000, 0.500, 0.500), Th at (0.000, 0.333, 0.000), N at (0.247, 0.166, 0.242) and N at (0.248, 0.500, 0.242).

For the total energy, the calculation gives -0.634 Ry per atom. The calculation puts the density of states at the Fermi level at 0.454 states/eV per atom.

Record 18
Computed, not measured: a relaxed structure of Tb2CeDy6Er3 at the PBE level of DFT.

The structure belongs to space group C2/m (No. 12); the cell edges are 6.127, 10.608 and 11.721 Å and the angles 90.00°, 100.02° and 90.00°. The inequivalent atoms are Tb at (0.000, 0.166, 0.000), Ce at (0.000, 0.500, 0.000), Dy at (0.247, 0.500, 0.749), Dy at (0.250, 0.166, 0.749), Er at (0.000, 0.000, 0.500) and Er at (0.000, 0.333, 0.500).

For the energy of formation, the calculation gives 0.0368 eV/atom. The calculation puts the density of states at the Fermi level at 1.618 states/eV per atom.

Record 19
Computed, not measured: a relaxed structure of Cs2WS4 at the PBE level of DFT.

The structure belongs to space group Fmm2 (No. 42); the cell edges are 11.455, 11.754 and 11.324 Å and the angles 90.00°, 90.00° and 90.00°. The inequivalent atoms are Cs at (0.250, 0.250, 0.000), W at (0.000, 0.000, 0.244), S at (0.000, 0.155, 0.354) and S at (0.159, 0.000, 0.133).

For the total energy, the calculation gives -0.398 Ry per atom. The calculation puts the density of states at the Fermi level at 0.000 states/eV per atom.

Record 20
Computed, not measured: a relaxed structure of PrSm4Dy at the PBE level of DFT.

The structure belongs to space group Cmcm (No. 63); the cell edges are 6.891, 12.307 and 9.743 Å and the angles 90.00°, 90.00° and 90.00°. The inequivalent atoms are Pr at (0.000, 0.178, 0.250), Sm at (0.000, 0.348, 0.573), Sm at (0.241, 0.395, 0.250) and Dy at (0.000, 0.000, 0.000).

For the energy of formation, the calculation gives 0.2325 eV/atom. The calculation puts the density of states at the Fermi level at 1.454 states/eV per atom.